Crystalline MoIr2F at its relaxed geometry. Source: Alexandria via LeMat-Bulk, functional PBE+U.

Results
Total DFT energy (no corrections) (eV for the cell shown): -24.94

Lattice parameters (Å, degrees): 4.3329 4.3329 4.3329 60.00 60.00 60.00
Site moments in Bohr magnetons follow the coordinates.
Sites, in units of the cell vectors:
Mo 0.5000 0.5000 0.5000  1.16
Ir 0.7500 0.7500 0.7500  -0.38
Ir 0.2500 0.2500 0.2500  -0.38
F 0.0000 0.0000 0.0000  0.03